Record 1
# SrIn2Co

SrIn2Co after structural relaxation (PBEsol, Alexandria).

Unit cell a=4.9481 b=4.9481 c=4.9481 alpha=60.00 beta=60.00 gamma=60.00
Fractional coordinates of all 4 atoms:
Sr 0.0000 0.0000 0.0000
In 0.2500 0.2500 0.2500
In 0.7500 0.7500 0.7500
Co 0.5000 0.5000 0.5000

Record 2
# Sr2InCo

Sr2InCo after structural relaxation (PBEsol, Alexandria).

Unit cell a=5.3275 b=5.3275 c=3.9216 alpha=90.00 beta=90.00 gamma=90.14
Fractional coordinates of all 4 atoms:
Sr 0.0000 0.5000 0.0000
Sr 0.5000 0.0000 0.0000
In 0.0000 0.0000 0.5000
Co 0.5000 0.5000 0.5000

Record 3
# TaInCo3

TaInCo3 after structural relaxation (PBEsol, Alexandria).

Unit cell a=4.4277 b=4.4277 c=4.4277 alpha=90.00 beta=90.00 gamma=90.00
Fractional coordinates of all 5 atoms:
Ta 0.0000 0.0000 0.0000
In 0.5000 0.5000 0.5000
Co 0.0000 0.5000 0.5000
Co 0.5000 0.0000 0.5000
Co 0.5000 0.5000 0.0000

Record 4
# TaIn2Co

TaIn2Co after structural relaxation (PBEsol, Alexandria).

Unit cell a=4.0724 b=4.0724 c=4.1002 alpha=90.00 beta=90.00 gamma=90.00
Fractional coordinates of all 4 atoms:
Ta 0.0000 0.0000 0.0000
In 0.0000 0.5000 0.5000
In 0.5000 0.0000 0.5000
Co 0.5000 0.5000 0.0000

Record 5
# TbIn5Co

TbIn5Co after structural relaxation (PBEsol, Alexandria).

Unit cell a=4.4934 b=4.4934 c=7.3791 alpha=90.00 beta=90.00 gamma=90.00
Fractional coordinates of all 7 atoms:
Tb 0.0000 0.0000 0.0000
In 0.0000 0.5000 0.3067
In 0.0000 0.5000 0.6933
In 0.5000 0.0000 0.3067
In 0.5000 0.0000 0.6933
In 0.5000 0.5000 0.0000
Co 0.0000 0.0000 0.5000

Record 6
# Tb6InCo2

Tb6InCo2 after structural relaxation (PBEsol, Alexandria).

Unit cell a=8.2515 b=8.2515 c=8.2515 alpha=112.22 beta=109.36 gamma=106.88
Fractional coordinates of all 18 atoms:
Tb 0.0297 0.2359 0.7938
Tb 0.1845 0.2859 0.4703
Tb 0.1845 0.7141 0.8986
Tb 0.3236 0.0114 0.6878
Tb 0.3236 0.6358 0.3122
Tb 0.4421 0.2359 0.2062
Tb 0.5579 0.7641 0.7938
Tb 0.6764 0.3642 0.6878
Tb 0.6764 0.9886 0.3122
Tb 0.8155 0.2859 0.1014
Tb 0.8155 0.7141 0.5297
Tb 0.9703 0.7641 0.2062
In 0.0000 0.0000 0.0000
In 0.5000 0.5000 0.0000
Co 0.1132 0.6132 0.5000
Co 0.3395 0.0000 0.3395
Co 0.6605 0.0000 0.6605
Co 0.8868 0.3868 0.5000

Record 7
# InCoTc2

InCoTc2 after structural relaxation (PBEsol, Alexandria).

Unit cell a=4.3358 b=4.3358 c=4.3358 alpha=60.00 beta=60.00 gamma=60.00
Fractional coordinates of all 4 atoms:
In 0.0000 0.0000 0.0000
Co 0.5000 0.5000 0.5000
Tc 0.2500 0.2500 0.2500
Tc 0.7500 0.7500 0.7500

Record 8
# In3CoTc

In3CoTc after structural relaxation (PBEsol, Alexandria).

Unit cell a=5.0603 b=5.0603 c=5.0603 alpha=90.00 beta=90.00 gamma=90.00
Fractional coordinates of all 5 atoms:
In 0.0000 0.0000 0.5000
In 0.0000 0.5000 0.0000
In 0.5000 0.0000 0.0000
Co 0.5000 0.5000 0.5000
Tc 0.0000 0.0000 0.0000

Record 9
# InCoTc

InCoTc after structural relaxation (PBEsol, Alexandria).

Unit cell a=4.2296 b=4.2296 c=4.2296 alpha=60.00 beta=60.00 gamma=60.00
Fractional coordinates of all 3 atoms:
In 0.0000 0.0000 0.0000
Co 0.7500 0.7500 0.7500
Tc 0.2500 0.2500 0.2500

Record 10
# In2CoTe

In2CoTe after structural relaxation (PBEsol, Alexandria).

Unit cell a=3.0833 b=3.0833 c=8.7874 alpha=90.00 beta=90.00 gamma=90.00
Fractional coordinates of all 4 atoms:
In 0.0000 0.0000 0.1764
In 0.0000 0.0000 0.8236
Co 0.5000 0.5000 0.0000
Te 0.5000 0.5000 0.5000

Raw formation energy: 164 meV/atom

Record 11
# In2CoTe

In2CoTe after structural relaxation (PBEsol, Alexandria).

Unit cell a=4.9645 b=4.9645 c=3.6844 alpha=90.00 beta=90.00 gamma=110.43
Fractional coordinates of all 4 atoms:
In 0.0000 0.5000 0.0000
In 0.5000 0.0000 0.0000
Co 0.0000 0.0000 0.5000
Te 0.5000 0.5000 0.5000

Raw formation energy: 433 meV/atom

Record 12
# In2CoTe

In2CoTe after structural relaxation (PBEsol, Alexandria).

Unit cell a=6.8425 b=6.8425 c=6.8425 alpha=153.51 beta=143.14 gamma=45.96
Fractional coordinates of all 4 atoms:
In 0.0000 0.0000 0.0000
In 0.6693 0.1693 0.5000
Co 0.4847 0.4847 0.0000
Te 0.3236 0.8236 0.5000

Raw formation energy: 49 meV/atom

Number 1: final energy -3.719 eV per atom. Number 2: final energy -3.355 eV per atom. Number 3: final energy -5.991 eV per atom. Number 4: final energy -6.304 eV per atom. Number 5: final energy -4.266 eV per atom. Number 6: final energy -5.656 eV per atom. Number 7: final energy -7.823 eV per atom. Number 8: final energy -4.480 eV per atom. Number 9: final energy -6.151 eV per atom. Number 10: final energy -4.144 eV per atom. Number 11: final energy -3.874 eV per atom. Number 12: final energy -4.258 eV per atom.